Entry 1:
20
Lattice="7.687 0.000 0.000 3.843 6.657 0.000 3.843 2.219 18.070" Properties=species:S:1:pos:R:3 comment="Cs2HgMoBr6, optimized geometry, DFT GGA-PBE" total_magnetization_mub_per_fu=2.00 dos_at_fermi_per_ev_fu=8.113 relative_energy_mev_per_atom=0.0 sg="R-3m (166)" formation_energy_uncorrected_mev_per_atom=-991 pbc="T T T"
Cs 3.843 2.219 10.520
Cs 11.530 6.657 7.549
Cs 3.843 2.219 1.452
Cs 11.530 6.657 16.617
Br 7.687 2.352 10.536
Br 5.880 5.481 10.536
Br 9.721 3.264 16.575
Br 7.687 2.090 1.495
Br 9.493 3.395 7.534
Br 9.721 5.612 1.495
Br 9.493 5.481 10.536
Br 7.687 6.524 7.534
Br 5.653 5.612 1.495
Br 5.880 3.395 7.534
Br 5.653 3.264 16.575
Br 7.687 6.786 16.575
Hg 7.687 4.438 13.579
Hg 7.687 4.438 4.491
Mo 7.687 4.438 9.035
Mo 0.000 0.000 0.000

---

Entry 2:
19
Lattice="9.309 0.408 -1.759 -2.194 9.056 -1.759 0.306 0.408 9.469" Properties=species:S:1:pos:R:3 comment="Cs6Hg12Pt, optimized geometry, DFT GGA-PBE" total_magnetization_mub_per_fu=0.00 dos_at_fermi_per_ev_fu=8.606 ef_ev_per_fu=-3.8 sg="R-3 (148)" pbc="T T T"
Hg 0.250 7.571 7.037
Hg 5.350 8.753 -1.286
Hg 7.172 2.300 -1.086
Hg -1.013 7.529 0.449
Hg 1.398 6.925 2.265
Hg 3.572 3.266 5.622
Hg 6.024 2.946 3.686
Hg 2.072 1.118 7.237
Hg 3.849 6.605 0.329
Hg 1.468 5.532 5.078
Hg 5.954 4.339 0.873
Hg 8.435 2.342 5.502
Cs 4.007 0.845 1.298
Cs 1.202 4.084 -0.576
Cs 3.415 9.026 4.652
Cs 7.204 7.582 2.322
Cs 6.220 5.787 6.527
Cs 0.218 2.289 3.629
Pt 0.000 0.000 0.000

---

Entry 3:
10
Lattice="4.035 0.013 0.014 -0.676 6.405 -0.026 -3.081 2.291 6.516" Properties=species:S:1:pos:R:3 comment="BaAgO3, optimized geometry, DFT GGA-PBE" total_magnetization_mub_per_fu=0.00 dos_at_fermi_per_ev_fu=0.429 sg="P1 (1)" formation_energy_uncorrected_mev_per_atom=-1053 pbc="T T T"
O 1.670 4.450 0.499
O -0.688 3.741 6.480
O -0.825 4.065 3.268
O 0.478 7.263 3.445
O -0.698 6.994 5.758
O 1.800 7.366 2.886
Ba -0.339 6.169 1.211
Ba -2.637 5.172 4.932
Ag -0.432 2.418 4.617
Ag 2.482 2.779 1.673